VASP calculation (PBE with a Hubbard U) on a geometry-optimized NpFeCuO6 structure.

The theoretical density is 7.04 Mg/m³. For the total moment, the calculation gives 0.447 μB per atom. For the energy, the calculation gives -7.4732 eV per atom. As for the density of states at the Fermi level: 0.405 states/eV per atom.

Unit cell a=5.2722 b=5.2722 c=8.8707 alpha=90.00 beta=90.00 gamma=120.00
Last column: nearest neighbours and their distance in Å.
Space group P-31c (No. 163)
Unique sites:
Np: 0.3333 0.6667 0.2500 [2 per cell]  6 O 2.03
Fe: 0.3333 0.6667 0.7500 [2 per cell]  6 O 2.03
Cu: 0.0000 0.0000 0.0000 [2 per cell]  6 O 2.15
O: 0.9997 0.3418 0.1312 [12 per cell]  1 Fe 2.03, 1 Np 2.03, 1 Cu 2.15